The following is a GGA+U calculation of crystalline CoWNO2 at its relaxed geometry, from Alexandria.

Lattice parameters (Å, degrees): 3.6593 3.6593 3.7047 90.00 90.00 90.00
Fractional positions:
Co 0.0000 0.0000 0.0000
W 0.5000 0.5000 0.5000
N 0.0000 0.0000 0.5000
O 0.0000 0.5000 0.0000
O 0.5000 0.0000 0.0000

Computed properties:
DOS(E_F): 1.163 states/eV/cell
symmetry: P4/mmm
E: -5.698 eV per atom
total magnetic moment: 0.477 μB per formula unit

---

The following is a GGA+U calculation of crystalline CoWNO2 at its relaxed geometry, from Alexandria.

Lattice parameters (Å, degrees): 3.8975 3.8975 4.0162 90.00 90.00 90.00
Fractional positions:
Co 0.0000 0.0000 0.0000
W 0.5000 0.5000 0.5000
N 0.5000 0.5000 0.0000
O 0.0000 0.5000 0.5000
O 0.5000 0.0000 0.5000

Computed properties:
DOS(E_F): 3.906 states/eV/cell
symmetry: P4/mmm
E: -6.612 eV per atom
total magnetic moment: 2.161 μB per formula unit

---

The following is a GGA+U calculation of crystalline YCoN2O at its relaxed geometry, from Alexandria.

Lattice parameters (Å, degrees): 3.6513 3.6513 4.0410 90.00 90.00 90.00
Fractional positions:
Y 0.0000 0.0000 0.0000
Co 0.5000 0.5000 0.5000
N 0.0000 0.5000 0.5000
N 0.5000 0.0000 0.5000
O 0.5000 0.5000 0.0000

Computed properties:
DOS(E_F): 1.671 states/eV/cell
symmetry: P4/mmm
E: -7.134 eV per atom
total magnetic moment: 2.678 μB per formula unit

---

The following is a GGA+U calculation of crystalline YCoN2O at its relaxed geometry, from Alexandria.

Lattice parameters (Å, degrees): 4.4016 4.4016 4.2933 90.00 90.00 90.00
Fractional positions:
Y 0.0000 0.0000 0.0000
Co 0.5000 0.5000 0.5000
N 0.0000 0.5000 0.0000
N 0.5000 0.0000 0.0000
O 0.0000 0.0000 0.5000

Computed properties:
DOS(E_F): 12.520 states/eV/cell
symmetry: P4/mmm
E: -5.490 eV per atom
total magnetic moment: 1.553 μB per formula unit

---

The following is a GGA+U calculation of crystalline YCoNO2 at its relaxed geometry, from Alexandria.

Lattice parameters (Å, degrees): 3.8581 3.8581 3.5466 90.00 90.00 90.00
Fractional positions:
Y 0.0000 0.0000 0.0000
Co 0.5000 0.5000 0.5000
N 0.5000 0.5000 0.0000
O 0.0000 0.5000 0.5000
O 0.5000 0.0000 0.5000

Computed properties:
DOS(E_F): 1.897 states/eV/cell
symmetry: P4/mmm
E: -7.184 eV per atom
total magnetic moment: 1.134 μB per formula unit

---

The following is a GGA+U calculation of crystalline YCoNO2 at its relaxed geometry, from Alexandria.

Lattice parameters (Å, degrees): 4.3319 4.3319 4.5076 90.00 90.00 90.00
Fractional positions:
Y 0.0000 0.0000 0.0000
Co 0.5000 0.5000 0.5000
N 0.0000 0.0000 0.5000
O 0.0000 0.5000 0.0000
O 0.5000 0.0000 0.0000

Computed properties:
DOS(E_F): 3.181 states/eV/cell
symmetry: P4/mmm
E: -6.063 eV per atom
total magnetic moment: 0.936 μB per formula unit

---

The following is a GGA+U calculation of crystalline ZnCoN2O at its relaxed geometry, from Alexandria.

Lattice parameters (Å, degrees): 3.4907 3.4907 4.2218 90.00 90.00 90.00
Fractional positions:
Zn 0.0000 0.0000 0.0000
Co 0.5000 0.5000 0.5000
N 0.0000 0.5000 0.5000
N 0.5000 0.0000 0.5000
O 0.5000 0.5000 0.0000

Computed properties:
DOS(E_F): 1.051 states/eV/cell
symmetry: P4/mmm
E: -4.643 eV per atom
total magnetic moment: 0.250 μB per formula unit

---

The following is a GGA+U calculation of crystalline ZnCoNO2 at its relaxed geometry, from Alexandria.

Lattice parameters (Å, degrees): 3.8899 3.8899 3.3634 90.00 90.00 90.00
Fractional positions:
Zn 0.0000 0.0000 0.0000
Co 0.5000 0.5000 0.5000
N 0.5000 0.5000 0.0000
O 0.0000 0.5000 0.5000
O 0.5000 0.0000 0.5000

Computed properties:
DOS(E_F): 2.833 states/eV/cell
symmetry: P4/mmm
E: -4.663 eV per atom
total magnetic moment: 0.319 μB per formula unit